{"formula": "CuSbTeW", "functional": "PBE", "state": "relaxed", "lattice_angstrom": [[-3.090, -0.748, 3.635], [-2.323, 3.731, 2.001], [-4.744, 0.552, -0.712]], "species": ["Cu", "Sb", "Te", "W"], "frac_coords": [[0.750, 0.750, 0.750], [0.250, 0.250, 0.250], [0.500, 0.500, 0.500], [0.000, 0.000, 0.000]], "space_group": "F-43m", "final_energy_ev_per_atom": -4.9195}